First-principles (GGA-PBE) data for an optimized crystal structure of ZrSbPI2, as listed in Alexandria.

Results
Formation energy from raw total energies = 0.422 eV per atom
Crystal system = tetragonal

Cell and atoms, written as POSCAR:
```
ZrSbPI2
1.0
5.636 0.000 0.000
0.000 5.636 0.000
0.000 0.000 5.854
I Sb Zr P
2 1 1 1
direct
0.000 0.500 0.000 I
0.500 0.000 0.000 I
0.000 0.000 0.500 Sb
0.000 0.000 0.000 Zr
0.500 0.500 0.500 P
```

First-principles (GGA-PBE) data for an optimized crystal structure of Cd4CuPd, as listed in Alexandria.

Results
Total DFT energy (no corrections) = -2.294 eV/atom
Crystal system = tetragonal

Cell and atoms, written as POSCAR:
```
Cd4CuPd
1.0
5.210 -0.088 -1.409
-3.072 4.209 -1.409
0.046 0.088 5.397
Cd Cu Pd
4 1 1
direct
0.584 0.084 0.167 Cd
0.916 0.416 0.833 Cd
0.084 0.916 0.500 Cd
0.416 0.584 0.500 Cd
0.500 0.500 0.000 Cu
0.000 0.000 0.000 Pd
```

First-principles (GGA-PBE) data for an optimized crystal structure of Co2Pt2Rh15, as listed in Alexandria.

Results
Total DFT energy (no corrections) = -6.792 eV/atom
Crystal system = trigonal

Cell and atoms, written as POSCAR:
```
Co2Pt2Rh15
1.0
-0.002 -0.579 6.706
2.471 -6.235 0.561
6.449 1.485 1.229
Co Pt Rh
2 2 15
direct
0.915 0.915 0.915 Co
0.085 0.085 0.085 Co
0.719 0.719 0.719 Pt
0.281 0.281 0.281 Pt
0.000 0.500 0.000 Rh
0.000 0.000 0.500 Rh
0.500 0.000 0.000 Rh
0.313 0.000 0.687 Rh
0.687 0.313 0.000 Rh
0.000 0.687 0.313 Rh
0.313 0.687 0.000 Rh
0.000 0.313 0.687 Rh
0.687 0.000 0.313 Rh
0.348 0.841 0.348 Rh
0.348 0.348 0.841 Rh
0.841 0.348 0.348 Rh
0.652 0.159 0.652 Rh
0.652 0.652 0.159 Rh
0.159 0.652 0.652 Rh
```

First-principles (GGA-PBE) data for an optimized crystal structure of Pr5SmN6, as listed in Alexandria.

Results
Formation energy from raw total energies = -1.318 eV per atom
Crystal system = monoclinic

Cell and atoms, written as POSCAR:
```
Pr5SmN6
1.0
-1.542 -4.530 4.194
5.287 -2.237 2.745
2.203 2.694 5.328
Pr Sm N
5 1 6
direct
0.500 0.166 0.668 Pr
0.000 0.333 0.334 Pr
0.500 0.500 0.000 Pr
0.000 0.667 0.666 Pr
0.500 0.834 0.332 Pr
0.000 0.000 0.000 Sm
0.752 0.083 0.329 N
0.248 0.588 0.329 N
0.248 0.246 0.000 N
0.752 0.754 0.000 N
0.752 0.412 0.671 N
0.248 0.917 0.671 N
```

First-principles (GGA-PBE) data for an optimized crystal structure of K2SnPd, as listed in Alexandria.

Results
Total DFT energy (no corrections) = -2.953 eV/atom
Crystal system = tetragonal

Cell and atoms, written as POSCAR:
```
K2SnPd
1.0
-8.083 -8.230 -3.980
-3.658 -1.957 11.476
-7.618 -3.259 3.504
K Sn Pd
4 2 2
direct
0.446 0.125 0.250 K
0.304 0.625 0.250 K
0.375 0.554 0.750 K
0.875 0.696 0.750 K
0.000 0.000 0.000 Sn
0.750 0.250 0.500 Sn
0.500 0.500 0.000 Pd
0.250 0.750 0.500 Pd
```

First-principles (GGA-PBE) data for an optimized crystal structure of PmErIrOs, as listed in Alexandria.

Results
Total DFT energy (no corrections) = -7.690 eV/atom
Crystal system = cubic

Cell and atoms, written as POSCAR:
```
PmErIrOs
1.0
4.876 0.000 0.000
2.438 4.223 0.000
2.438 1.408 3.981
Pm Ir Os Er
1 1 1 1
direct
0.750 0.750 0.750 Pm
0.000 0.000 0.000 Ir
0.500 0.500 0.500 Os
0.250 0.250 0.250 Er
```

First-principles (GGA-PBE) data for an optimized crystal structure of Ba2ZrRh, as listed in Alexandria.

Results
Total DFT energy (no corrections) = -4.961 eV/atom
Crystal system = monoclinic

Cell and atoms, written as POSCAR:
```
Ba2ZrRh
1.0
-3.761 8.600 -3.648
-3.422 6.671 -6.723
-3.929 -0.770 0.049
Ba Rh Zr
2 1 1
direct
0.098 0.098 0.901 Ba
0.402 0.402 0.599 Ba
0.750 0.750 0.750 Rh
0.250 0.250 0.250 Zr
```

First-principles (GGA-PBE) data for an optimized crystal structure of RbGa3Rh, as listed in Alexandria.

Results
Total DFT energy (no corrections) = -1.710 eV/atom
Crystal system = cubic

Cell and atoms, written as POSCAR:
```
RbGa3Rh
1.0
-0.898 4.954 2.402
-4.285 0.899 -3.456
-3.456 -2.402 3.661
Rh Ga Rb
1 3 1
direct
0.500 0.500 0.500 Rh
0.000 0.500 0.000 Ga
0.000 0.000 0.500 Ga
0.500 0.000 0.000 Ga
0.000 0.000 0.000 Rb
```

First-principles (GGA-PBE) data for an optimized crystal structure of SiPPdN2, as listed in Alexandria.

Results
Formation energy from raw total energies = 0.768 eV per atom
Crystal system = tetragonal

Cell and atoms, written as POSCAR:
```
SiPPdN2
1.0
-0.444 0.849 3.178
4.201 -5.852 2.150
2.717 1.903 -0.128
P Si Pd N
1 1 1 2
direct
0.000 0.000 0.000 P
0.500 0.500 0.500 Si
0.000 0.500 0.000 Pd
0.000 0.000 0.500 N
0.500 0.000 0.000 N
```

First-principles (GGA-PBE) data for an optimized crystal structure of TlCr2RhI, as listed in Alexandria.

Results
Formation energy from raw total energies = 1.091 eV per atom
Crystal system = tetragonal

Cell and atoms, written as POSCAR:
```
TlCr2RhI
1.0
5.166 0.000 0.000
0.000 4.923 0.000
0.000 0.000 5.166
I Cr Tl Rh
1 2 1 1
direct
0.000 0.000 0.000 I
0.000 0.000 0.500 Cr
0.500 0.000 0.000 Cr
0.500 0.500 0.500 Tl
0.000 0.500 0.000 Rh
```

First-principles (GGA-PBE) data for an optimized crystal structure of MnVReRh, as listed in Alexandria.

Results
Total DFT energy (no corrections) = -9.674 eV/atom
Crystal system = cubic

Cell and atoms, written as POSCAR:
```
MnVReRh
1.0
4.275 0.000 0.000
2.137 3.702 0.000
2.137 1.234 3.490
Re Mn Rh V
1 1 1 1
direct
0.500 0.500 0.500 Re
0.750 0.750 0.750 Mn
0.000 0.000 0.000 Rh
0.250 0.250 0.250 V
```

First-principles (GGA-PBE) data for an optimized crystal structure of In2PRuI, as listed in Alexandria.

Results
Formation energy from raw total energies = 0.707 eV per atom
Crystal system = tetragonal

Cell and atoms, written as POSCAR:
```
In2PRuI
1.0
5.292 0.000 0.000
0.000 5.127 0.000
0.000 0.000 5.292
I Ru P In
1 1 1 2
direct
0.000 0.500 0.000 I
0.000 0.000 0.000 Ru
0.500 0.500 0.500 P
0.000 0.000 0.500 In
0.500 0.000 0.000 In
```

First-principles (GGA-PBE) data for an optimized crystal structure of B2H6Pt, as listed in Alexandria.

Results
Total DFT energy (no corrections) = -3.321 eV/atom
Crystal system = cubic

Cell and atoms, written as POSCAR:
```
B2H6Pt
1.0
-0.250 -2.841 3.307
0.328 -4.285 -0.773
3.560 -2.183 1.277
B H Pt
2 6 1
direct
0.750 0.750 0.750 B
0.250 0.250 0.250 B
0.282 0.718 0.718 H
0.718 0.718 0.282 H
0.718 0.282 0.718 H
0.718 0.282 0.282 H
0.282 0.282 0.718 H
0.282 0.718 0.282 H
0.000 0.000 0.000 Pt
```

First-principles (GGA-PBE) data for an optimized crystal structure of ZnAgO3, as listed in Alexandria.

Results
Formation energy from raw total energies = 0.070 eV per atom
Crystal system = cubic

Cell and atoms, written as POSCAR:
```
ZnAgO3
1.0
3.871 0.000 0.000
0.000 3.871 0.000
0.000 0.000 3.871
Zn O Ag
1 3 1
direct
0.000 0.000 0.000 Zn
0.000 0.500 0.000 O
0.000 0.000 0.500 O
0.500 0.000 0.000 O
0.500 0.500 0.500 Ag
```

First-principles (GGA-PBE) data for an optimized crystal structure of KMnGe2Br8, as listed in Alexandria.

Results
Formation energy from raw total energies = -0.776 eV per atom
Crystal system = triclinic

Cell and atoms, written as POSCAR:
```
KMnGe2Br8
1.0
-7.094 2.337 3.770
-2.829 -4.186 3.907
6.046 2.593 6.240
K Mn Ge Br
1 1 2 8
direct
0.000 0.000 0.500 K
0.000 0.000 0.000 Mn
0.331 0.369 0.830 Ge
0.669 0.631 0.170 Ge
0.249 0.696 0.164 Br
0.730 0.992 0.164 Br
0.022 0.297 0.180 Br
0.751 0.304 0.836 Br
0.270 0.008 0.836 Br
0.978 0.703 0.820 Br
0.702 0.609 0.444 Br
0.298 0.391 0.556 Br
```

First-principles (GGA-PBE) data for an optimized crystal structure of BaPaTl2S4, as listed in Alexandria.

Results
Formation energy from raw total energies = -1.256 eV per atom
Crystal system = monoclinic

Cell and atoms, written as POSCAR:
```
BaPaTl2S4
1.0
4.231 0.000 0.000
0.000 7.665 0.220
0.000 -2.582 7.414
Ba Pa Tl S
1 1 2 4
direct
0.500 0.500 0.000 Ba
0.000 0.000 0.000 Pa
0.500 0.000 0.500 Tl
0.000 0.500 0.500 Tl
0.500 0.197 0.196 S
0.500 0.803 0.804 S
0.000 0.219 0.792 S
0.000 0.781 0.208 S
```

First-principles (GGA-PBE) data for an optimized crystal structure of TbPr5Dy2Th, as listed in Alexandria.

Results
Total DFT energy (no corrections) = -4.877 eV/atom
Crystal system = orthorhombic

Cell and atoms, written as POSCAR:
```
TbPr5Dy2Th
1.0
5.457 0.000 0.000
-2.728 10.933 0.000
0.000 0.000 10.658
Tb Pr Dy Th
2 10 4 2
direct
0.602 0.203 0.008 Tb
0.398 0.797 0.508 Tb
0.374 0.748 0.008 Pr
0.722 0.444 0.816 Pr
0.500 0.000 0.758 Pr
0.278 0.556 0.701 Pr
0.003 0.005 0.508 Pr
0.626 0.252 0.508 Pr
0.278 0.556 0.316 Pr
0.500 0.000 0.258 Pr
0.722 0.444 0.201 Pr
0.997 0.995 0.008 Pr
0.887 0.774 0.753 Dy
0.113 0.226 0.764 Dy
0.113 0.226 0.253 Dy
0.887 0.774 0.264 Dy
0.787 0.574 0.508 Th
0.213 0.426 0.008 Th
```

First-principles (GGA-PBE) data for an optimized crystal structure of Sr2CaPaO6, as listed in Alexandria.

Results
Formation energy from raw total energies = -3.017 eV per atom
Crystal system = monoclinic

Cell and atoms, written as POSCAR:
```
Sr2CaPaO6
1.0
-2.913 -4.996 -1.705
5.250 -2.272 -2.314
1.727 -3.731 7.582
Sr Ca Pa O
4 2 2 12
direct
0.017 0.953 0.255 Sr
0.517 0.547 0.755 Sr
0.983 0.047 0.745 Sr
0.483 0.453 0.245 Sr
0.500 0.000 0.000 Ca
0.000 0.500 0.500 Ca
0.500 0.000 0.500 Pa
0.000 0.500 0.000 Pa
0.286 0.694 0.053 O
0.786 0.806 0.553 O
0.714 0.306 0.947 O
0.214 0.194 0.447 O
0.307 0.720 0.432 O
0.807 0.780 0.932 O
0.693 0.280 0.568 O
0.193 0.220 0.068 O
0.890 0.550 0.237 O
0.390 0.950 0.737 O
0.110 0.450 0.763 O
0.610 0.050 0.263 O
```

First-principles (GGA-PBE) data for an optimized crystal structure of Ca2AcHoHg4, as listed in Alexandria.

Results
Total DFT energy (no corrections) = -2.259 eV/atom
Crystal system = trigonal

Cell and atoms, written as POSCAR:
```
Ca2AcHoHg4
1.0
-2.085 2.134 4.497
-4.899 -1.513 1.686
1.365 -6.367 6.893
Ca Ac Ho Hg
2 1 1 4
direct
0.753 0.753 0.741 Ca
0.247 0.247 0.259 Ca
0.000 0.000 0.000 Ac
0.500 0.500 0.500 Ho
0.382 0.382 0.854 Hg
0.871 0.871 0.387 Hg
0.129 0.129 0.613 Hg
0.618 0.618 0.146 Hg
```

First-principles (GGA-PBE) data for an optimized crystal structure of Tm3Zn2Ge4, as listed in Alexandria.

Results
Total DFT energy (no corrections) = -4.425 eV/atom
Crystal system = triclinic

Cell and atoms, written as POSCAR:
```
Tm3Zn2Ge4
1.0
3.991 -0.001 -1.108
-0.672 5.976 -2.389
0.022 0.080 7.774
Tm Zn Ge
3 2 4
direct
0.135 0.604 0.271 Tm
0.865 0.396 0.729 Tm
0.000 0.000 0.000 Tm
0.670 0.988 0.341 Zn
0.330 0.012 0.659 Zn
0.498 0.693 0.996 Ge
0.211 0.236 0.420 Ge
0.502 0.307 0.004 Ge
0.789 0.764 0.580 Ge
```